This record from the Alexandria database describes AlNi2Ir after structural relaxation. The functional is GGA-PBEsol.

a = 4.8139 Å, b = 4.8139 Å, c = 4.8139 Å
α = 145.57°, β = 129.54°, γ = 62.52°
Last column: nearest neighbours and their distance in Å.
Sites, in units of the cell vectors:
Al  0.0000  0.0000  0.0000  4 Ni 2.44, 4 Ir 2.50
Ni  0.2411  0.7411  0.5000  2 Al 2.44, 4 Ni 2.50, 2 Ir 2.56
Ni  0.7589  0.2589  0.5000  2 Al 2.44, 4 Ni 2.50, 2 Ir 2.56
Ir  0.5000  0.5000  0.0000  4 Al 2.50, 4 Ni 2.56

Computed properties:
Fermi-level density of states ... 1.460 states/eV per atom
Energy of formation from the pure elements ... -1.25 eV per formula unit

=====

This record from the Alexandria database describes AlNi2Ir after structural relaxation. The functional is GGA-PBEsol.

a = 2.9826 Å, b = 3.9895 Å, c = 4.0369 Å
α = 90.00°, β = 90.00°, γ = 90.00°
Last column: nearest neighbours and their distance in Å.
Sites, in units of the cell vectors:
Al  0.0000  0.0000  0.0000  4 Ir 2.49, 4 Ni 2.51
Ni  0.0000  0.5000  0.5000  4 Ni 2.49, 4 Ir 2.51
Ni  0.5000  0.0000  0.5000  4 Ni 2.49, 4 Al 2.51
Ir  0.5000  0.5000  0.0000  4 Al 2.49, 4 Ni 2.51

Computed properties:
Fermi-level density of states ... 1.043 states/eV per atom
Energy of formation from the pure elements ... -1.53 eV per formula unit

=====

This record from the Alexandria database describes AlNi2Ir after structural relaxation. The functional is GGA-PBEsol.

a = 4.3710 Å, b = 4.3710 Å, c = 4.3710 Å
α = 129.66°, β = 129.66°, γ = 73.94°
Last column: nearest neighbours and their distance in Å.
Sites, in units of the cell vectors:
Al  0.0000  0.0000  0.0000  8 Ni 2.55-2.63, 4 Ir 2.55
Ni  0.2500  0.7500  0.5000  4 Ni 2.55, 4 Al 2.55, 4 Ir 2.63
Ni  0.5000  0.5000  0.0000  4 Ni 2.55, 4 Ir 2.55, 4 Al 2.63
Ir  0.7500  0.2500  0.5000  8 Ni 2.55-2.63, 4 Al 2.55

Computed properties:
Fermi-level density of states ... 1.197 states/eV per atom
Energy of formation from the pure elements ... -1.56 eV per formula unit

=====

This record from the Alexandria database describes AlIrO2 after structural relaxation. The functional is GGA-PBEsol.

a = 5.9710 Å, b = 5.9710 Å, c = 5.9710 Å
α = 30.77°, β = 30.77°, γ = 30.77°
Last column: nearest neighbours and their distance in Å.
Sites, in units of the cell vectors:
Al  0.0000  0.0000  0.0000  2 O 1.90
Ir  0.5000  0.5000  0.5000  6 O 2.06
O  0.1116  0.1116  0.1116  1 Al 1.90, 3 Ir 2.06
O  0.8884  0.8884  0.8884  1 Al 1.90, 3 Ir 2.06

Computed properties:
Fermi-level density of states ... 0.077 states/eV per atom
Formation energy (no corrections) ... -0.731 eV per atom

=====

What did we get for calculated volume? Answer: 48; 48; 48; 49 Å³/f.u., in the order shown.